This record from the Alexandria database describes a relaxed structure of Rb4CrO2. The functional is PBE+U.

Cell: 6.1703 6.1703 8.6821 Å, 69.19 69.19 90.00°
Closest atoms and distances in Å follow each position.
Atoms (fractional coordinates):
Cr1 0.0000 0.0000 0.0000  4 Rb 3.09
O1 0.5892 0.5892 0.8217  1 Rb 2.41, 1 O 2.68
O2 0.4108 0.4108 0.1783  1 Rb 2.41, 1 O 2.68
Rb1 0.7497 0.7497 0.5005  1 O 2.41
Rb2 0.2503 0.2503 0.4995  1 O 2.41
Rb3 0.0000 0.5000 0.0000  2 Cr 3.09, 4 O 3.36
Rb4 0.5000 0.0000 0.0000  2 Cr 3.09, 4 O 3.36

## Properties
The total energy comes out at -20.86 eV per cell. Its space group is No. 139. Its density of states at the Fermi level is 1.982 states/eV/f.u.